Computed, not measured: a geometry-optimized Er2Cu12Si7 structure at the GGA-PBE level of DFT.

a = 3.8821 Å, b = 9.4359 Å, c = 9.4359 Å
α = 120.00°, β = 90.00°, γ = 90.00°
Element x y z (fractional)
Si: 0.2523 0.4099 0.1189
Si: 0.2523 0.8811 0.2910
Si: 0.7477 0.2910 0.4099
Si: 0.2523 0.7090 0.5901
Si: 0.7477 0.5901 0.8811
Si: 0.7477 0.1189 0.7090
Si: 0.5000 0.0000 0.0000
Cu: 0.7585 0.2661 0.1447
Cu: 0.2486 0.6162 0.0480
Cu: 0.2486 0.9520 0.5682
Cu: 0.7514 0.5682 0.6162
Cu: 0.2415 0.7339 0.8553
Cu: 0.7585 0.8786 0.7339
Cu: 0.2415 0.1214 0.2661
Cu: 0.7585 0.8553 0.1214
Cu: 0.7514 0.0480 0.4318
Cu: 0.7514 0.3838 0.9520
Cu: 0.2415 0.1447 0.8786
Cu: 0.2486 0.4318 0.3838
Er: 0.2520 0.3333 0.6667
Er: 0.7480 0.6667 0.3333

Computed properties:
Energy   -4.823 eV per atom
Space-group type   P-3, No. 147

Computed, not measured: a geometry-optimized SmErCu2Si2 structure at the GGA-PBE level of DFT.

a = 4.1708 Å, b = 4.1708 Å, c = 7.5142 Å
α = 90.00°, β = 90.00°, γ = 120.00°
Element x y z (fractional)
Cu: 0.3333 0.6667 0.7352
Cu: 0.6667 0.3333 0.2648
Si: 0.6667 0.3333 0.7410
Si: 0.3333 0.6667 0.2590
Sm: 0.0000 0.0000 0.0000
Er: 0.0000 0.0000 0.5000

Computed properties:
Energy   -5.381 eV per atom
Space-group type   P-3m1, No. 164

Computed, not measured: a geometry-optimized TbEr2Cu2Si2 structure at the GGA-PBE level of DFT.

a = 4.0695 Å, b = 4.0695 Å, c = 10.7936 Å
α = 79.13°, β = 79.13°, γ = 60.00°
Element x y z (fractional)
Si: 0.2712 0.2712 0.1864
Si: 0.7288 0.7288 0.8136
Er: 0.1199 0.1199 0.6402
Er: 0.8801 0.8801 0.3598
Tb: 0.0000 0.0000 0.0000
Cu: 0.3963 0.3963 0.8111
Cu: 0.6037 0.6037 0.1889

Computed properties:
Energy   -5.187 eV per atom
Space-group type   R-3m, No. 166

Computed, not measured: a geometry-optimized TbErCu2Si2 structure at the GGA-PBE level of DFT.

a = 4.1547 Å, b = 4.1547 Å, c = 7.4083 Å
α = 90.00°, β = 90.00°, γ = 120.00°
Element x y z (fractional)
Cu: 0.3333 0.6667 0.7429
Cu: 0.6667 0.3333 0.2571
Tb: 0.0000 0.0000 0.0000
Si: 0.3333 0.6667 0.2538
Si: 0.6667 0.3333 0.7462
Er: 0.0000 0.0000 0.5000

Computed properties:
Energy   -5.377 eV per atom
Space-group type   P-3m1, No. 164

Computed, not measured: a geometry-optimized ErTmCuSi structure at the GGA-PBE level of DFT.

a = 4.0109 Å, b = 4.0413 Å, c = 5.6417 Å
α = 90.00°, β = 110.82°, γ = 90.00°
Element x y z (fractional)
Er: 0.1420 0.0000 0.2839
Tm: 0.8613 0.5000 0.7226
Cu: 0.5688 0.5000 0.1376
Si: 0.4279 0.0000 0.8559

Computed properties:
Energy   -5.189 eV per atom
Space-group type   Amm2, No. 38
ΔE to the lowest computed polymorph   0 meV/atom

Computed, not measured: a geometry-optimized ErTmCu2Si2 structure at the GGA-PBE level of DFT.

a = 4.1380 Å, b = 4.1380 Å, c = 7.2923 Å
α = 90.00°, β = 90.00°, γ = 120.00°
Element x y z (fractional)
Er: 0.0000 0.0000 0.0000
Cu: 0.6667 0.3333 0.2532
Cu: 0.3333 0.6667 0.7468
Si: 0.6667 0.3333 0.7487
Si: 0.3333 0.6667 0.2513
Tm: 0.0000 0.0000 0.5000

Computed properties:
Energy   -5.348 eV per atom
Space-group type   P-3m1, No. 164

> Which of these has the lowest energy?

SmErCu2Si2